(1)
DFT (PBE-GGA) results for crystalline LiSbPb2S at its relaxed geometry.

## Properties
Formation energy (no corrections) in meV per atom: 234.2
Space-group type: P4/mmm
Final energy in eV per atom: -3.2819
Magnetic moment in μB/cell: 0.0

Cell: 5.345 5.345 4.686 Å, 90.00 90.00 90.00°
Fractional coordinates of all 5 atoms:
Li 0.000 0.000 0.000
Sb 0.000 0.000 0.500
Pb 0.000 0.500 0.000
Pb 0.500 0.000 0.000
S 0.500 0.500 0.500



(2)
DFT (PBE-GGA) results for crystalline ReBPC at its relaxed geometry.

## Properties
DFT formation energy in eV per atom: 0.11
Space-group type: R3m
Relative energy among the computed polymorphs in eV per atom: 0.0000
Final energy in eV per atom: -8.3286
Magnetic moment in μB/cell: 0.0

Cell: 5.809 5.809 5.809 Å, 29.34 29.34 29.34°
Fractional coordinates of all 4 atoms:
Re 0.000 0.000 0.000
B 0.556 0.556 0.556
P 0.760 0.760 0.760
C 0.866 0.866 0.866



(3)
DFT (PBE-GGA) results for crystalline LiMnSnTe3 at its relaxed geometry.

## Properties
Formation energy (no corrections) in meV per atom: -341.7
Space-group type: P2_1/m
Final energy in eV per atom: -4.4269
Magnetic moment in μB/cell: 8.0

Cell: 7.673 4.081 11.278 Å, 90.00 108.26 90.00°
Fractional coordinates of all 12 atoms:
Li 0.117 0.250 0.122
Li 0.883 0.750 0.878
Mn 0.304 0.750 0.380
Mn 0.696 0.250 0.620
Sn 0.312 0.250 0.823
Sn 0.688 0.750 0.177
Te 0.061 0.250 0.351
Te 0.278 0.750 0.020
Te 0.462 0.750 0.641
Te 0.538 0.250 0.359
Te 0.722 0.250 0.980
Te 0.939 0.750 0.649